Ni2AuF: optimized geometry, GGA+U.

Cell: 7.066 7.066 7.066 Å, 141.81 141.81 55.11°
Atoms (fractional coordinates):
1 Ni 0.007 0.625 0.882
2 Ni 0.375 0.257 0.382
3 Ni 0.743 0.125 0.118
4 Ni 0.875 0.993 0.618
5 Au 0.250 0.750 0.500
6 Au 0.500 0.500 0.000
7 F 0.000 0.000 0.000
8 F 0.750 0.250 0.500

For the final energy, the calculation gives -2.577 eV/atom. As for the total magnetic moment: 4.0 Bohr magnetons per cell. The density of states at the Fermi level comes out at 0.75 states/eV per cell. As for the energy above the most stable polymorph in this dataset: 0 meV/atom.